Density functional theory data (GGA-PBE) for a relaxed structure of Ac6Tl2Au.

The total magnetic moment is 0.00 μB per cell. The space group is P2_1/c, No. 14. The value obtained for the total energy is -3.911 eV/atom. Its density of states at the Fermi level is 1.38 states/eV per atom.

abc: 7.122 9.180 10.818
angles: 90.00 88.29 90.00
Atoms (fractional coordinates):
1 Ac 0.867 0.962 0.232
2 Ac 0.869 0.670 0.557
3 Ac 0.876 0.687 0.940
4 Ac 0.624 0.187 0.560
5 Ac 0.631 0.170 0.943
6 Ac 0.633 0.462 0.268
7 Ac 0.133 0.038 0.768
8 Ac 0.131 0.330 0.443
9 Ac 0.124 0.313 0.060
10 Ac 0.376 0.813 0.440
11 Ac 0.369 0.830 0.057
12 Ac 0.367 0.538 0.732
13 Tl 0.923 0.378 0.755
14 Tl 0.577 0.878 0.745
15 Tl 0.423 0.122 0.255
16 Tl 0.077 0.622 0.245
17 Au 0.500 0.500 0.000
18 Au 0.000 0.000 0.500